A geometry-optimized BaIrRu structure. Source: the Alexandria database, functional GGA-PBE.

```
BaIrRu
1.0
2.9965 0.0000 0.0000
0.0000 3.9305 0.0000
0.0000 0.0000 11.5107
Ba Ir Ru
2 2 2
direct
0.0000 0.0000 0.0000
0.5000 0.5000 0.5000
0.0000 0.0000 0.7143
0.5000 0.5000 0.2143
0.0000 0.0000 0.2811
0.5000 0.5000 0.7811
```

Calculated values
* E: -6.33 eV/atom
* space-group type: Imm2, No. 44

---

A geometry-optimized La3ScBe structure. Source: the Alexandria database, functional GGA-PBE.

```
La3ScBe
1.0
5.5001 0.0000 0.0000
0.0000 5.5001 0.0000
0.0000 0.0000 5.5001
La Sc Be
3 1 1
direct
0.0000 0.0000 0.5000
0.0000 0.5000 0.0000
0.5000 0.0000 0.0000
0.5000 0.5000 0.5000
0.0000 0.0000 0.0000
```

Calculated values
* E: -4.56 eV/atom
* space-group type: Pm-3m, No. 221

---

A geometry-optimized RbAuCl2 structure. Source: the Alexandria database, functional GGA-PBE.

```
RbAuCl2
1.0
5.3348 0.0000 0.0000
-2.6674 4.6200 0.0000
0.0000 0.0000 21.7373
Rb Au Cl
3 3 6
direct
0.0000 0.0000 0.0000
0.3333 0.6667 0.6667
0.6667 0.3333 0.3333
0.0000 0.0000 0.5000
0.3333 0.6667 0.1667
0.6667 0.3333 0.8333
0.0000 0.0000 0.3946
0.0000 0.0000 0.6054
0.3333 0.6667 0.0612
0.3333 0.6667 0.2721
0.6667 0.3333 0.7279
0.6667 0.3333 0.9388
```

Calculated values
* E: -3.10 eV/atom
* space-group type: R-3m, No. 166

---

A geometry-optimized Sm8ZnPd2 structure. Source: the Alexandria database, functional GGA-PBE.

```
Sm8ZnPd2
1.0
4.3055 -6.8442 0.0000
4.3055 6.8442 0.0000
-1.7004 0.0000 5.5007
Sm Zn Pd
8 1 2
direct
0.0000 0.0000 0.0000
0.0492 0.2965 0.6008
0.1580 0.6179 0.1868
0.2965 0.0492 0.6008
0.4704 0.7186 0.7858
0.6179 0.1580 0.1868
0.7186 0.4704 0.7858
0.7607 0.7607 0.3723
0.3843 0.3843 0.0895
0.0805 0.6829 0.6837
0.6829 0.0805 0.6837
```

Calculated values
* E: -4.71 eV/atom
* space-group type: Cm, No. 8

---

A geometry-optimized Ba2CaCd structure. Source: the Alexandria database, functional GGA-PBE.

```
Ba2CaCd
1.0
4.2796 0.0000 0.0000
0.0000 6.3633 0.0000
0.0000 0.0000 13.2947
Ba Ca Cd
4 2 2
direct
0.0000 0.0000 0.0000
0.0000 0.5000 0.1982
0.5000 0.0000 0.6982
0.5000 0.5000 0.5000
0.0000 0.0000 0.4014
0.5000 0.5000 0.9014
0.0000 0.5000 0.7145
0.5000 0.0000 0.2145
```

Calculated values
* E: -1.82 eV/atom
* space-group type: Imm2, No. 44

---

A geometry-optimized Tb2DyTl2Ag2 structure. Source: the Alexandria database, functional GGA-PBE.

```
Tb2DyTl2Ag2
1.0
2.4398 1.4086 8.9702
-2.4398 1.4086 8.9702
0.0000 -2.8172 8.9702
Tb Dy Tl Ag
2 1 2 2
direct
0.1248 0.1248 0.1248
0.8752 0.8752 0.8752
0.0000 0.0000 0.0000
0.2587 0.2587 0.2587
0.7413 0.7413 0.7413
0.3935 0.3935 0.3935
0.6065 0.6065 0.6065
```

Calculated values
* E: -3.64 eV/atom
* space-group type: R-3m, No. 166

---

A geometry-optimized AgSn2Pb2 structure. Source: the Alexandria database, functional GGA-PBE.

```
AgSn2Pb2
1.0
-3.1854 7.1987 2.9787
3.1854 -7.1987 2.9787
3.1854 7.1987 -2.9787
Ag Sn Pb
2 4 4
direct
0.2500 0.2500 0.0000
0.7500 0.7500 0.0000
0.0846 0.6535 0.7381
0.4154 0.1535 0.5689
0.5846 0.8465 0.4311
0.9154 0.3465 0.2619
0.1824 0.1785 0.3609
0.3176 0.6785 0.9961
0.6824 0.3215 0.0039
0.8176 0.8215 0.6391
```

Calculated values
* E: -3.62 eV/atom
* space-group type: Ibam, No. 72

---

A geometry-optimized Te2Au structure. Source: the Alexandria database, functional GGA-PBE.

```
Te2Au
1.0
4.1154 0.0000 0.0000
-2.0577 3.5641 0.0000
0.0000 0.0000 11.0706
Te Au
4 2
direct
0.3333 0.6667 0.0980
0.3333 0.6667 0.4020
0.6667 0.3333 0.5980
0.6667 0.3333 0.9020
0.0000 0.0000 0.2500
0.0000 0.0000 0.7500
```

Calculated values
* E: -3.14 eV/atom
* space-group type: P6_3/mmc, No. 194

---

A geometry-optimized Li2ZrGaSi structure. Source: the Alexandria database, functional GGA-PBE.

```
Li2ZrGaSi
1.0
4.3034 0.0000 0.0000
0.0000 4.3034 0.0000
0.0000 0.0000 4.8542
Li Zr Ga Si
2 1 1 1
direct
0.0000 0.5000 0.0000
0.5000 0.0000 0.0000
0.0000 0.0000 0.5000
0.5000 0.5000 0.0000
0.5000 0.5000 0.5000
```

Calculated values
* E: -3.87 eV/atom
* space-group type: P4/mmm, No. 123

---

A geometry-optimized HIr2O structure. Source: the Alexandria database, functional GGA-PBE.

```
HIr2O
1.0
4.5608 0.0000 0.0000
0.0000 4.5608 0.0000
0.0000 0.0000 8.3830
H Ir O
4 8 4
direct
0.0000 0.0000 0.0000
0.0000 0.5000 0.2500
0.5000 0.0000 0.7500
0.5000 0.5000 0.5000
0.1864 0.2500 0.1250
0.2500 0.6864 0.3750
0.2500 0.8136 0.8750
0.3136 0.2500 0.6250
0.6864 0.7500 0.6250
0.7500 0.1864 0.8750
0.7500 0.3136 0.3750
0.8136 0.7500 0.1250
0.0000 0.0000 0.5000
0.0000 0.5000 0.7500
0.5000 0.0000 0.2500
0.5000 0.5000 0.0000
```

Calculated values
* E: -6.12 eV/atom
* space-group type: I-42d, No. 122

---

A geometry-optimized CsRh3C structure. Source: the Alexandria database, functional GGA-PBE.

```
CsRh3C
1.0
4.3349 0.0000 0.0000
0.0000 4.3349 0.0000
0.0000 0.0000 4.3349
Cs Rh C
1 3 1
direct
0.0000 0.0000 0.0000
0.0000 0.5000 0.5000
0.5000 0.0000 0.5000
0.5000 0.5000 0.0000
0.5000 0.5000 0.5000
```

Calculated values
* E: -5.63 eV/atom
* space-group type: Pm-3m, No. 221

---

A geometry-optimized Ta3InO structure. Source: the Alexandria database, functional GGA-PBE.

```
Ta3InO
1.0
5.0211 0.0000 0.0000
0.0000 5.0211 0.0000
0.0000 0.0000 5.0211
Ta In O
3 1 1
direct
0.0000 0.0000 0.5000
0.0000 0.5000 0.0000
0.5000 0.0000 0.0000
0.0000 0.0000 0.0000
0.5000 0.5000 0.5000
```

Calculated values
* E: -5.85 eV/atom
* space-group type: Pm-3m, No. 221